1.
# Tl4Cd3 (GGA-PBE, optimized geometry)
data_Tl4Cd3
_chemical_formula_sum 'Tl4 Cd3'
_cell_length_a 5.847
_cell_length_b 5.847
_cell_length_c 6.667
_cell_angle_alpha 90.00
_cell_angle_beta 90.00
_cell_angle_gamma 120.00
_symmetry_space_group_name_H-M 'P 1'
_symmetry_Int_Tables_number 1
loop_
_symmetry_equiv_pos_as_xyz
'x,y,z'
loop_
_atom_site_label
_atom_site_fract_x
_atom_site_fract_y
_atom_site_fract_z
Tl1 0.000 0.000 0.240
Tl2 0.000 0.000 0.760
Tl3 0.333 0.667 0.000
Tl4 0.667 0.333 0.000
Cd1 0.000 0.500 0.500
Cd2 0.500 0.000 0.500
Cd3 0.500 0.500 0.500
# Calculated density ... 9.7 g cm⁻³
# Energy above the lowest structure with this stoichiometry ... 0.0 meV per atom
# Fermi-level density of states ... 3.041 states/eV/cell
# E_form ... 1.07 kJ per mole of atoms
# E ... -1.733 eV per atom

=====

2.
# Tm2CrIn (GGA-PBE, optimized geometry)
data_Tm2CrIn
_chemical_formula_sum 'Tm2 Cr1 In1'
_cell_length_a 3.575
_cell_length_b 3.575
_cell_length_c 7.409
_cell_angle_alpha 90.00
_cell_angle_beta 90.00
_cell_angle_gamma 90.00
_symmetry_space_group_name_H-M 'P 1'
_symmetry_Int_Tables_number 1
loop_
_symmetry_equiv_pos_as_xyz
'x,y,z'
loop_
_atom_site_label
_atom_site_fract_x
_atom_site_fract_y
_atom_site_fract_z
Tm1 0.000 0.000 0.228
Tm2 0.000 0.000 0.772
Cr1 0.500 0.500 0.000
In1 0.500 0.500 0.500
# Calculated density ... 8.8 g cm⁻³
# Fermi-level density of states ... 3.098 states/eV/cell
# E_form ... -7.18 kJ per mole of atoms
# E ... -5.401 eV per atom

=====

3.
# CsLiTe2 (GGA-PBE, optimized geometry)
data_CsLiTe2
_chemical_formula_sum 'Cs1 Li1 Te2'
_cell_length_a 3.931
_cell_length_b 3.931
_cell_length_c 10.464
_cell_angle_alpha 90.00
_cell_angle_beta 90.00
_cell_angle_gamma 120.00
_symmetry_space_group_name_H-M 'P 1'
_symmetry_Int_Tables_number 1
loop_
_symmetry_equiv_pos_as_xyz
'x,y,z'
loop_
_atom_site_label
_atom_site_fract_x
_atom_site_fract_y
_atom_site_fract_z
Cs1 0.000 0.000 0.000
Li1 0.333 0.667 0.448
Te1 0.333 0.667 0.710
Te2 0.667 0.333 0.289
# Calculated density ... 4.7 g cm⁻³
# Energy above the lowest structure with this stoichiometry ... 379.4 meV per atom
# Fermi-level density of states ... 2.735 states/eV/cell
# Formation energy from raw total energies ... -0.45 eV/atom
# E ... -2.709 eV per atom